This record from Alexandria describes a relaxed structure of La4TlCd. The functional is PBE-GGA.

Computed properties:
Its space-group type is No. 123. The calculation puts the magnetic moment at 1.235 μB per cell. Its formation energy is -5.227 kcal/mol of atoms. The value obtained for the calculated volume is 200 Å³ per cell.

Cell lengths 3.9814, 3.9815, 12.5910 Å; angles 89.98, 90.00, 90.00 degrees
With the nearest neighbours (Å) after each atom.
Fractional coordinates of all 6 atoms:
La1 0.0000 0.0005 0.6520  4 Cd 3.40-3.41, 4 La 3.73
La2 0.5000 0.5003 0.8465  4 Tl 3.41-3.42, 4 La 3.73
La3 0.5000 0.4997 0.1535  4 Tl 3.41-3.42, 4 La 3.73
La4 0.0000 0.9995 0.3480  4 Cd 3.40-3.41, 4 La 3.73
Tl1 0.0000 0.0000 0.0000  8 La 3.41-3.42
Cd1 0.5000 0.5000 0.5000  8 La 3.40-3.41